TbPa2Pb9: optimized geometry, PBE.

Results
calculated density = 12.2 g/cm3
crystal system = tetragonal
energy of formation = -0.095 eV per atom

Lattice parameters (Å, degrees): 4.826 4.826 14.569 90.00 90.00 90.00
Atoms (fractional coordinates):
Tb 0.000 0.000 0.000
Pa 0.000 0.000 0.338
Pa 0.000 0.000 0.662
Pb 0.000 0.500 0.169
Pb 0.000 0.500 0.500
Pb 0.000 0.500 0.831
Pb 0.500 0.000 0.169
Pb 0.500 0.000 0.500
Pb 0.500 0.000 0.831
Pb 0.500 0.500 0.000
Pb 0.500 0.500 0.334
Pb 0.500 0.500 0.666